Entry 1:
First-principles (PBE) data for an optimized crystal structure of Ca2TbY4, as listed in Alexandria via LeMat-Bulk.

abc: 3.6452 3.5950 18.7808
angles: 90.00 95.57 90.00
Last column: nearest neighbours and their distance in Å.
Positions (direct):
1 Ca 0.7943 0.5000 0.5886  6 Ca 3.60-3.78, 4 Y 3.76
2 Ca 0.2057 0.5000 0.4114  6 Ca 3.60-3.78, 4 Y 3.76
3 Tb 0.5000 0.0000 0.0000  8 Y 3.59, 4 Tb 3.60-3.65
4 Y 0.6321 0.0000 0.2643  8 Y 3.53-3.65, 4 Ca 3.76
5 Y 0.0672 0.5000 0.1343  8 Y 3.53-3.65, 4 Tb 3.59
6 Y 0.9328 0.5000 0.8657  8 Y 3.53-3.65, 4 Tb 3.59
7 Y 0.3679 0.0000 0.7357  8 Y 3.53-3.65, 4 Ca 3.76

Computed properties:
For the calculated volume, the calculation gives 245.0 Å³ per cell. The calculation puts the total magnetic moment at 0.0 Bohr magnetons per cell. As for the space-group type: No. 65. Its formation energy is 70 meV per atom.

Entry 2:
First-principles (PBE) data for an optimized crystal structure of HgTeCl3, as listed in Alexandria via LeMat-Bulk.

abc: 8.0735 7.0902 13.4575
angles: 90.00 96.81 90.00
Last column: nearest neighbours and their distance in Å.
Positions (direct):
1 Hg 0.3415 0.5318 0.6085  2 Cl 2.32-2.33
2 Hg 0.6585 0.5318 0.8915  2 Cl 2.32-2.33
3 Hg 0.6585 0.4682 0.3915  2 Cl 2.32-2.33
4 Hg 0.3415 0.4682 0.1085  2 Cl 2.32-2.33
5 Te 0.1268 0.0568 0.3204  1 Cl 2.45, 1 Te 2.62
6 Te 0.1268 0.9432 0.8204  1 Cl 2.45, 1 Te 2.62
7 Te 0.8732 0.9432 0.6796  1 Cl 2.45, 1 Te 2.62
8 Te 0.8732 0.0568 0.1796  1 Cl 2.45, 1 Te 2.62
9 Cl 0.2554 0.3546 0.7377  1 Hg 2.32
10 Cl 0.2554 0.6454 0.2377  1 Hg 2.32
11 Cl 0.4414 0.2450 0.0034  1 Hg 2.33
12 Cl 0.9439 0.7072 0.5587  1 Te 2.45
13 Cl 0.7446 0.3546 0.7623  1 Hg 2.32
14 Cl 0.9439 0.2928 0.0587  1 Te 2.45
15 Cl 0.5586 0.7550 0.9966  1 Hg 2.33
16 Cl 0.0561 0.2928 0.4413  1 Te 2.45
17 Cl 0.4414 0.7550 0.5034  1 Hg 2.33
18 Cl 0.7446 0.6454 0.2623  1 Hg 2.32
19 Cl 0.5586 0.2450 0.4966  1 Hg 2.33
20 Cl 0.0561 0.7072 0.9413  1 Te 2.45

Computed properties:
For the calculated volume, the calculation gives 764.9 Å³ per cell. The calculation puts the total magnetic moment at 0.0 Bohr magnetons per cell. As for the space-group type: No. 13. Its formation energy without anion corrections is -0.443 eV/atom.

Entry 3:
First-principles (PBE) data for an optimized crystal structure of MgMoPd, as listed in Alexandria via LeMat-Bulk.

abc: 7.3514 3.1350 4.3250
angles: 90.00 90.00 77.67
Last column: nearest neighbours and their distance in Å.
Positions (direct):
1 Mg 0.2859 0.7443 0.8077  6 Pd 2.67-2.86
2 Mg 0.9713 0.9019 0.3071  6 Pd 2.67-2.86
3 Pd 0.3038 0.2354 0.3076  6 Mg 2.67-2.86, 2 Mo 2.72-2.73
4 Pd 0.9534 0.4108 0.8070  6 Mg 2.67-2.86, 2 Mo 2.72-2.73
5 Mo 0.6433 0.0672 0.8063  4 Mo 2.67-2.68, 2 Pd 2.72-2.73
6 Mo 0.6139 0.5790 0.3063  4 Mo 2.67-2.68, 2 Pd 2.72-2.73

Computed properties:
For the calculated volume, the calculation gives 97.4 Å³ per cell. The calculation puts the total magnetic moment at 0.0 Bohr magnetons per cell. As for the space-group type: No. 4. Its formation energy is -208 meV per atom.

Entry 4:
First-principles (PBE) data for an optimized crystal structure of SrPmTm4Se8, as listed in Alexandria via LeMat-Bulk.

abc: 8.4472 8.4472 8.5363
angles: 60.34 60.34 60.00
Last column: nearest neighbours and their distance in Å.
Positions (direct):
1 Se 0.7513 0.2311 0.2663  3 Tm 2.73-2.92, 1 Pm 3.02
2 Se 0.2350 0.2350 0.2950  3 Tm 2.81, 1 Sr 2.89
3 Se 0.7513 0.7513 0.2663  3 Tm 2.73-2.92, 1 Pm 3.02
4 Se 0.7896 0.2428 0.7249  2 Tm 2.79, 1 Sr 2.88, 1 Pm 2.91
5 Se 0.7578 0.7578 0.7266  4 Tm 2.78-2.93
6 Se 0.2311 0.7513 0.2663  3 Tm 2.73-2.92, 1 Pm 3.02
7 Se 0.2428 0.7896 0.7249  2 Tm 2.79, 1 Sr 2.88, 1 Pm 2.91
8 Se 0.2428 0.2428 0.7249  2 Tm 2.79, 1 Sr 2.88, 1 Pm 2.91
9 Tm 0.6256 0.6256 0.1232  4 Se 2.73-2.78
10 Tm 0.0016 0.0016 0.5020  6 Se 2.79-2.93
11 Tm 0.0016 0.4948 0.5020  6 Se 2.79-2.93
12 Tm 0.4948 0.0016 0.5020  6 Se 2.79-2.93
13 Sr 0.3727 0.3727 0.8818  4 Se 2.88-2.89
14 Pm 0.0020 0.0020 0.9940  6 Se 2.91-3.02

Computed properties:
For the calculated volume, the calculation gives 432.9 Å³ per cell. The calculation puts the total magnetic moment at 0.0 Bohr magnetons per cell. As for the space-group type: No. 160. Its formation energy without anion corrections is -1.770 eV/atom.

Entry 5:
First-principles (PBE) data for an optimized crystal structure of PrSb3, as listed in Alexandria via LeMat-Bulk.

abc: 4.5274 4.4992 11.8301
angles: 100.96 90.00 90.00
Last column: nearest neighbours and their distance in Å.
Positions (direct):
1 Sb 0.7500 0.0522 0.1043  4 Pr 3.23, 2 Sb 3.32
2 Sb 0.2500 0.3177 0.6354  5 Sb 3.14-3.19, 2 Pr 3.41
3 Sb 0.2500 0.9478 0.8957  4 Pr 3.23, 2 Sb 3.32
4 Sb 0.7500 0.6823 0.3646  5 Sb 3.14-3.19, 2 Pr 3.41
5 Sb 0.7500 0.8175 0.6351  5 Sb 3.14-3.19, 2 Pr 3.40
6 Sb 0.2500 0.1825 0.3649  5 Sb 3.14-3.19, 2 Pr 3.40
7 Pr 0.7500 0.4272 0.8545  8 Sb 3.23-3.41
8 Pr 0.2500 0.5728 0.1455  8 Sb 3.23-3.41

Computed properties:
For the calculated volume, the calculation gives 236.6 Å³ per cell. The calculation puts the total magnetic moment at 0.0 Bohr magnetons per cell. As for the space-group type: No. 63. Its formation energy without anion corrections is -0.514 eV/atom.

Entry 6:
First-principles (PBE) data for an optimized crystal structure of PuTiN2, as listed in Alexandria via LeMat-Bulk.

abc: 4.6058 4.6058 9.1670
angles: 90.00 90.00 90.00
Last column: nearest neighbours and their distance in Å.
Positions (direct):
1 N 0.5624 0.5001 0.1372  3 Ti 2.18-2.31, 3 Pu 2.31-2.40
2 N 0.0624 0.4999 0.8628  3 Ti 2.18-2.31, 3 Pu 2.31-2.40
3 N 0.0625 0.0001 0.1128  3 Ti 2.18-2.31, 3 Pu 2.31-2.40
4 N 0.5625 0.9999 0.8872  3 Ti 2.18-2.31, 3 Pu 2.31-2.40
5 N 0.5625 0.4999 0.6128  3 Ti 2.18-2.31, 3 Pu 2.31-2.40
6 N 0.0625 0.5001 0.3872  3 Ti 2.18-2.31, 3 Pu 2.31-2.40
7 N 0.5624 0.0001 0.3628  3 Ti 2.18-2.31, 3 Pu 2.31-2.40
8 N 0.0624 0.9999 0.6372  3 Ti 2.18-2.31, 3 Pu 2.31-2.40
9 Ti 0.5624 0.5001 0.3750  6 N 2.18-2.31
10 Ti 0.0624 0.4999 0.6250  6 N 2.18-2.31
11 Ti 0.5624 0.0001 0.1250  6 N 2.18-2.31
12 Ti 0.0624 0.9999 0.8750  6 N 2.18-2.31
13 Pu 0.5624 0.4999 0.8750  6 N 2.31-2.40
14 Pu 0.0624 0.0001 0.3750  6 N 2.31-2.40
15 Pu 0.0624 0.5001 0.1250  6 N 2.31-2.40
16 Pu 0.5624 0.9999 0.6250  6 N 2.31-2.40

Computed properties:
For the calculated volume, the calculation gives 194.5 Å³ per cell. The calculation puts the total magnetic moment at 17.5 Bohr magnetons per cell. As for the space-group type: No. 141. Its formation energy without anion corrections is -1.350 eV/atom.